Here is an optimized crystal structure of Dy2PuTl3 from Alexandria. Energies are from PBE.

Theoretical density   12.08 g cm⁻³
Fermi-level density of states   10.719 states/eV/f.u.
DFT formation energy   -0.221 eV per atom
Space group   No. 123

Unit cell a=3.447 b=3.447 c=13.681 alpha=90.00 beta=90.00 gamma=90.00
Site moments in Bohr magnetons follow the coordinates.
Atoms (fractional coordinates):
Tl (0.000, 0.000, 0.671)  0.01
Tl (0.000, 0.000, 0.329)  0.01
Tl (0.000, 0.000, 0.000)  0.01
Pu (0.500, 0.500, 0.500)  -5.58
Dy (0.500, 0.500, 0.163)  -0.17
Dy (0.500, 0.500, 0.837)  -0.17

***

Here is an optimized crystal structure of DyPuTl from Alexandria. Energies are from PBE.

E above lowest polymorph   3 meV per atom
Theoretical density   13.01 g cm⁻³
Fermi-level density of states   5.296 states/eV/f.u.
DFT formation energy   -0.020 eV per atom
Space group   No. 166

Unit cell a=3.505 b=3.505 c=14.790 alpha=83.19 beta=83.19 gamma=60.00
Atoms (fractional coordinates):
Tl (0.427, 0.427, 0.720)
Tl (0.573, 0.573, 0.280)
Pu (0.847, 0.847, 0.458)
Pu (0.153, 0.153, 0.542)
Dy (0.301, 0.301, 0.098)
Dy (0.699, 0.699, 0.902)

***

Here is an optimized crystal structure of Dy12PuTl3 from Alexandria. Energies are from PBE.

Theoretical density   10.08 g cm⁻³
Fermi-level density of states   26.121 states/eV/f.u.
DFT formation energy   -0.108 eV per atom
Space group   No. 123

Unit cell a=4.840 b=4.840 c=19.737 alpha=90.00 beta=90.00 gamma=90.00
Site moments in Bohr magnetons follow the coordinates.
Atoms (fractional coordinates):
Dy (0.500, 0.000, 0.376)  -0.10
Dy (0.000, 0.500, 0.126)  0.15
Dy (0.500, 0.500, 0.252)  -0.08
Dy (0.500, 0.500, 0.500)  -0.13
Dy (0.000, 0.500, 0.376)  -0.10
Dy (0.000, 0.500, 0.874)  0.15
Dy (0.500, 0.000, 0.624)  -0.10
Dy (0.500, 0.000, 0.874)  0.15
Dy (0.500, 0.000, 0.126)  0.15
Dy (0.500, 0.500, 0.000)  0.23
Dy (0.000, 0.500, 0.624)  -0.10
Dy (0.500, 0.500, 0.748)  -0.08
Pu (0.000, 0.000, 0.000)  5.55
Tl (0.000, 0.000, 0.745)  0.00
Tl (0.000, 0.000, 0.255)  0.00
Tl (0.000, 0.000, 0.500)  0.01

***

Here is an optimized crystal structure of DyPu4Tl5 from Alexandria. Energies are from PBE.

Theoretical density   12.85 g cm⁻³
Fermi-level density of states   35.740 states/eV/f.u.
DFT formation energy   -0.042 eV per atom
Space group   No. 123

Unit cell a=3.793 b=3.793 c=19.412 alpha=90.00 beta=90.00 gamma=90.00
Site moments in Bohr magnetons follow the coordinates.
Atoms (fractional coordinates):
Tl (0.500, 0.500, 0.500)  0.02
Tl (0.500, 0.500, 0.701)  0.02
Tl (0.500, 0.500, 0.095)  0.00
Tl (0.500, 0.500, 0.905)  0.00
Tl (0.500, 0.500, 0.299)  0.02
Pu (0.000, 0.000, 0.802)  5.58
Pu (0.000, 0.000, 0.600)  5.56
Pu (0.000, 0.000, 0.198)  5.58
Pu (0.000, 0.000, 0.400)  5.56
Dy (0.000, 0.000, 0.000)  0.01

***

Here is an optimized crystal structure of DyPuTl3 from Alexandria. Energies are from PBE.

Theoretical density   11.16 g cm⁻³
Fermi-level density of states   8.021 states/eV/f.u.
DFT formation energy   0.098 eV per atom
Space group   No. 63

Unit cell a=5.737 b=7.813 c=7.813 alpha=119.95 beta=90.00 gamma=90.00
Site moments in Bohr magnetons follow the coordinates.
Atoms (fractional coordinates):
Tl (0.250, 0.405, 0.203)  0.00
Tl (0.250, 0.798, 0.202)  0.00
Tl (0.750, 0.595, 0.797)  0.00
Tl (0.250, 0.797, 0.595)  0.00
Tl (0.750, 0.202, 0.798)  0.00
Tl (0.750, 0.203, 0.405)  0.00
Pu (0.000, 0.000, 0.000)  5.58
Pu (0.500, 0.000, 0.000)  5.58
Dy (0.250, 0.334, 0.666)  -0.04
Dy (0.750, 0.666, 0.334)  -0.04

***

Here is an optimized crystal structure of Dy2PuTl9 from Alexandria. Energies are from PBE.

Theoretical density   12.28 g cm⁻³
Fermi-level density of states   17.852 states/eV/f.u.
DFT formation energy   -0.167 eV per atom
Space group   No. 123

Unit cell a=4.767 b=4.767 c=14.335 alpha=90.00 beta=90.00 gamma=90.00
Site moments in Bohr magnetons follow the coordinates.
Atoms (fractional coordinates):
Dy (0.000, 0.000, 0.664)  -0.02
Dy (0.000, 0.000, 0.336)  -0.02
Tl (0.500, 0.000, 0.832)  0.00
Tl (0.500, 0.500, 0.333)  -0.01
Tl (0.000, 0.500, 0.500)  -0.01
Tl (0.000, 0.500, 0.168)  0.00
Tl (0.500, 0.500, 0.000)  0.01
Tl (0.500, 0.000, 0.168)  0.00
Tl (0.000, 0.500, 0.832)  0.00
Tl (0.500, 0.500, 0.667)  -0.01
Tl (0.500, 0.000, 0.500)  -0.01
Pu (0.000, 0.000, 0.000)  5.46

***

Here is an optimized crystal structure of DyPuTl from Alexandria. Energies are from PBE.

E above lowest polymorph   99 meV per atom
Theoretical density   12.06 g cm⁻³
Fermi-level density of states   7.502 states/eV/f.u.
DFT formation energy   0.076 eV per atom
Space group   No. 194

Unit cell a=5.676 b=5.676 c=6.030 alpha=90.00 beta=90.00 gamma=120.00
Site moments in Bohr magnetons follow the coordinates.
Atoms (fractional coordinates):
Dy (0.667, 0.333, 0.843)  0.02
Dy (0.333, 0.667, 0.343)  0.02
Tl (0.667, 0.333, 0.343)  -0.06
Tl (0.333, 0.667, 0.843)  -0.06
Pu (0.000, 0.000, 0.843)  5.82
Pu (0.000, 0.000, 0.343)  5.82

***

Here is an optimized crystal structure of DyPuTl from Alexandria. Energies are from PBE.

E above lowest polymorph   0 meV per atom
Theoretical density   11.86 g cm⁻³
Fermi-level density of states   7.772 states/eV/f.u.
DFT formation energy   -0.023 eV per atom
Space group   No. 107

Unit cell a=3.596 b=3.596 c=7.088 alpha=104.70 beta=104.70 gamma=90.00
Site moments in Bohr magnetons follow the coordinates.
Atoms (fractional coordinates):
Tl (0.281, 0.281, 0.562)  -0.01
Pu (0.944, 0.944, 0.888)  5.62
Dy (0.625, 0.625, 0.250)  0.27

***

Here is an optimized crystal structure of DyPu2Tl3 from Alexandria. Energies are from PBE.

Theoretical density   12.99 g cm⁻³
Fermi-level density of states   15.281 states/eV/f.u.
DFT formation energy   -0.123 eV per atom
Space group   No. 123

Unit cell a=3.372 b=3.372 c=14.208 alpha=90.00 beta=90.00 gamma=90.00
Site moments in Bohr magnetons follow the coordinates.
Atoms (fractional coordinates):
Tl (0.000, 0.000, 0.337)  -0.01
Tl (0.000, 0.000, 0.663)  -0.01
Tl (0.000, 0.000, 0.000)  -0.04
Pu (0.500, 0.500, 0.169)  5.54
Pu (0.500, 0.500, 0.831)  5.54
Dy (0.500, 0.500, 0.500)  0.21

***

Here is an optimized crystal structure of DyPuTl from Alexandria. Energies are from PBE.

E above lowest polymorph   33 meV per atom
Theoretical density   12.01 g cm⁻³
Fermi-level density of states   6.784 states/eV/f.u.
DFT formation energy   0.010 eV per atom
Space group   No. 156

Unit cell a=3.441 b=5.323 c=5.323 alpha=120.00 beta=90.00 gamma=90.00
Site moments in Bohr magnetons follow the coordinates.
Atoms (fractional coordinates):
Pu (0.704, 0.333, 0.667)  5.58
Dy (0.280, 0.667, 0.333)  0.21
Tl (0.016, 0.000, 0.000)  -0.04

***

Here is an optimized crystal structure of Dy3PuTl4 from Alexandria. Energies are from PBE.

Theoretical density   11.76 g cm⁻³
Fermi-level density of states   11.925 states/eV/f.u.
DFT formation energy   -0.251 eV per atom
Space group   No. 123

Unit cell a=3.559 b=3.559 c=17.266 alpha=90.00 beta=90.00 gamma=90.00
Site moments in Bohr magnetons follow the coordinates.
Atoms (fractional coordinates):
Dy (0.500, 0.500, 0.746)  -0.20
Dy (0.500, 0.500, 0.500)  0.15
Dy (0.500, 0.500, 0.254)  -0.20
Pu (0.500, 0.500, 0.000)  5.54
Tl (0.000, 0.000, 0.871)  -0.02
Tl (0.000, 0.000, 0.377)  0.00
Tl (0.000, 0.000, 0.129)  -0.02
Tl (0.000, 0.000, 0.623)  0.00

***

Here is an optimized crystal structure of DyTm2PuTl4 from Alexandria. Energies are from PBE.

Theoretical density   11.95 g cm⁻³
Fermi-level density of states   13.262 states/eV/f.u.
DFT formation energy   -0.220 eV per atom
Space group   No. 166

Unit cell a=5.353 b=5.353 c=9.272 alpha=73.22 beta=73.22 gamma=60.00
Site moments in Bohr magnetons follow the coordinates.
Atoms (fractional coordinates):
Tl (0.877, 0.877, 0.370)  0.00
Tl (0.627, 0.627, 0.120)  0.00
Tl (0.123, 0.123, 0.630)  0.00
Tl (0.373, 0.373, 0.880)  0.00
Tm (0.248, 0.248, 0.256)  0.16
Tm (0.752, 0.752, 0.744)  0.16
Pu (0.500, 0.500, 0.500)  5.54
Dy (0.000, 0.000, 0.000)  0.00

***

Here is an optimized crystal structure of Dy2TmPuTl4 from Alexandria. Energies are from PBE.

Theoretical density   11.79 g cm⁻³
Fermi-level density of states   13.599 states/eV/f.u.
DFT formation energy   -0.227 eV per atom
Space group   No. 166

Unit cell a=5.369 b=5.369 c=9.306 alpha=73.23 beta=73.23 gamma=60.00
Site moments in Bohr magnetons follow the coordinates.
Atoms (fractional coordinates):
Tl (0.627, 0.627, 0.119)  -0.01
Tl (0.123, 0.123, 0.632)  0.00
Tl (0.373, 0.373, 0.881)  -0.01
Tl (0.877, 0.877, 0.368)  0.00
Tm (0.000, 0.000, 0.000)  0.00
Pu (0.500, 0.500, 0.500)  5.55
Dy (0.752, 0.752, 0.745)  0.17
Dy (0.248, 0.248, 0.255)  0.17

***

Here is an optimized crystal structure of Dy6Tm3Pu from Alexandria. Energies are from PBE.

Theoretical density   9.36 g cm⁻³
Fermi-level density of states   14.068 states/eV/f.u.
DFT formation energy   0.175 eV per atom
Space group   No. 5

Unit cell a=9.998 b=9.505 c=6.799 alpha=44.44 beta=42.61 gamma=58.24
Site moments in Bohr magnetons follow the coordinates.
Atoms (fractional coordinates):
Dy (0.745, 0.069, 0.722)  0.08
Dy (0.111, 0.400, 0.800)  0.06
Dy (0.275, 0.900, 0.300)  0.05
Dy (0.864, 0.644, 0.243)  0.02
Dy (0.552, 0.155, 0.357)  0.02
Dy (0.336, 0.731, 0.877)  0.08
Tm (0.059, 0.200, 0.600)  0.13
Tm (0.436, 0.400, 0.800)  -0.03
Tm (0.658, 0.601, 0.000)  0.13
Pu (0.965, 0.900, 0.300)  5.66

***

Here is an optimized crystal structure of DyTmPu2 from Alexandria. Energies are from PBE.

E above lowest polymorph   104 meV per atom
Theoretical density   11.82 g cm⁻³
Fermi-level density of states   12.741 states/eV/f.u.
DFT formation energy   0.267 eV per atom
Space group   No. 225

Unit cell a=5.460 b=5.460 c=5.460 alpha=60.00 beta=60.00 gamma=60.00
Site moments in Bohr magnetons follow the coordinates.
Atoms (fractional coordinates):
Tm (0.000, 0.000, 0.000)  0.35
Pu (0.250, 0.250, 0.250)  5.53
Pu (0.750, 0.750, 0.750)  5.53
Dy (0.500, 0.500, 0.500)  0.32

***

Here is an optimized crystal structure of Dy8Tm4Pu from Alexandria. Energies are from PBE.

Theoretical density   8.20 g cm⁻³
Fermi-level density of states   18.370 states/eV/f.u.
DFT formation energy   0.506 eV per atom
Space group   No. 166

Unit cell a=7.661 b=7.661 c=7.661 alpha=90.12 beta=90.12 gamma=90.12
Site moments in Bohr magnetons follow the coordinates.
Atoms (fractional coordinates):
Dy (0.245, 0.756, 0.756)  0.05
Dy (0.756, 0.756, 0.245)  0.05
Dy (0.245, 0.245, 0.245)  0.05
Dy (0.755, 0.244, 0.244)  0.05
Dy (0.755, 0.755, 0.755)  0.05
Dy (0.244, 0.755, 0.244)  0.05
Dy (0.244, 0.244, 0.755)  0.05
Dy (0.756, 0.245, 0.756)  0.05
Tm (0.500, 0.000, 0.500)  0.13
Tm (0.500, 0.500, 0.000)  0.13
Tm (0.000, 0.500, 0.500)  0.13
Tm (0.000, 0.000, 0.000)  -0.22
Pu (0.500, 0.500, 0.500)  5.46

***

Here is an optimized crystal structure of Dy4Tm5Pu from Alexandria. Energies are from PBE.

E above lowest polymorph   0 meV per atom
Theoretical density   9.50 g cm⁻³
Fermi-level density of states   18.157 states/eV/f.u.
DFT formation energy   0.062 eV per atom
Space group   No. 12

Unit cell a=3.473 b=11.182 c=8.457 alpha=108.61 beta=101.85 gamma=90.00
Site moments in Bohr magnetons follow the coordinates.
Atoms (fractional coordinates):
Dy (0.085, 0.292, 0.171)  0.05
Dy (0.394, 0.202, 0.789)  0.00
Dy (0.606, 0.798, 0.211)  0.00
Dy (0.915, 0.708, 0.829)  0.05
Tm (0.189, 0.079, 0.378)  0.03
Tm (0.500, 0.500, 0.000)  -0.06
Tm (0.789, 0.384, 0.579)  -0.08
Tm (0.811, 0.921, 0.622)  0.03
Tm (0.211, 0.616, 0.421)  -0.08
Pu (0.500, 0.000, 0.000)  5.54

***

Here is an optimized crystal structure of DyTmPu2 from Alexandria. Energies are from PBE.

E above lowest polymorph   0 meV per atom
Theoretical density   11.80 g cm⁻³
Fermi-level density of states   14.100 states/eV/f.u.
DFT formation energy   0.164 eV per atom
Space group   No. 123

Unit cell a=3.387 b=3.387 c=10.052 alpha=90.00 beta=90.00 gamma=90.00
Site moments in Bohr magnetons follow the coordinates.
Atoms (fractional coordinates):
Pu (0.000, 0.000, 0.252)  5.58
Pu (0.000, 0.000, 0.748)  5.58
Dy (0.500, 0.500, 0.000)  0.26
Tm (0.500, 0.500, 0.500)  0.38

***

Here is an optimized crystal structure of Dy12Tm5Pu from Alexandria. Energies are from PBE.

Theoretical density   9.13 g cm⁻³
Fermi-level density of states   28.309 states/eV/f.u.
DFT formation energy   0.025 eV per atom
Space group   No. 12

Unit cell a=6.112 b=6.112 c=17.201 alpha=86.60 beta=83.20 gamma=60.00
Site moments in Bohr magnetons follow the coordinates.
Atoms (fractional coordinates):
Dy (0.384, 0.670, 0.836)  0.01
Dy (0.889, 0.000, 0.334)  -0.04
Dy (0.444, 0.333, 0.668)  -0.02
Dy (0.275, 0.000, 0.164)  0.02
Dy (0.556, 0.667, 0.332)  -0.02
Dy (0.111, 0.000, 0.666)  -0.04
Dy (0.055, 0.330, 0.836)  0.01
Dy (0.777, 0.667, 0.668)  -0.02
Dy (0.616, 0.330, 0.164)  0.01
Dy (0.945, 0.670, 0.164)  0.01
Dy (0.725, 0.000, 0.836)  0.02
Dy (0.223, 0.333, 0.332)  -0.02
Tm (0.167, 0.667, 0.500)  0.04
Tm (0.667, 0.667, 0.000)  0.12
Tm (0.333, 0.333, 0.000)  0.12
Tm (0.833, 0.333, 0.500)  0.04
Tm (0.500, 0.000, 0.500)  0.04
Pu (0.000, 0.000, 0.000)  5.56

***

Here is an optimized crystal structure of Dy12Tm7Pu from Alexandria. Energies are from PBE.

E above lowest polymorph   0 meV per atom
Theoretical density   9.09 g cm⁻³
Fermi-level density of states   29.242 states/eV/f.u.
DFT formation energy   0.129 eV per atom
Space group   No. 148

Unit cell a=9.453 b=9.453 c=9.453 alpha=110.79 beta=110.79 gamma=110.79
Site moments in Bohr magnetons follow the coordinates.
Atoms (fractional coordinates):
Dy (0.233, 0.600, 0.657)  -0.04
Dy (0.343, 0.767, 0.400)  -0.04
Dy (0.657, 0.233, 0.600)  -0.04
Dy (0.873, 0.570, 0.084)  -0.04
Dy (0.600, 0.657, 0.233)  -0.04
Dy (0.430, 0.916, 0.127)  -0.04
Dy (0.400, 0.343, 0.767)  -0.04
Dy (0.916, 0.127, 0.430)  -0.04
Dy (0.767, 0.400, 0.343)  -0.04
Dy (0.084, 0.873, 0.570)  -0.04
Dy (0.570, 0.084, 0.873)  -0.04
Dy (0.127, 0.430, 0.916)  -0.04
Tm (0.327, 0.206, 0.035)  0.10
Tm (0.500, 0.500, 0.500)  -0.07
Tm (0.965, 0.673, 0.794)  0.10
Tm (0.206, 0.035, 0.327)  0.10
Tm (0.794, 0.965, 0.673)  0.10
Tm (0.035, 0.327, 0.206)  0.10
Tm (0.673, 0.794, 0.965)  0.10
Pu (0.000, 0.000, 0.000)  5.63